The following is a DFT calculation (PBEsol) of crystalline MoOs2Ru at its relaxed geometry.

Calculated values
The value obtained for the total DFT energy (no corrections) is -45.787 eV/f.u. The calculation puts the volume at 56.61 Å³ per cell. The density of states at the Fermi level is 4.329 states/eV per cell.

```
MoOs2Ru
1.0
-0.561 1.245 -2.338
-2.480 0.990 -0.446
1.460 8.539 2.628
Mo Os Ru
1 2 1
Direct
0.000 0.000 0.000
0.752 0.752 0.744
0.248 0.248 0.256
0.500 0.500 0.500
```